Record 1
CrCo3Si after structural relaxation, computed with PBE. Values from VASP.

**Total magnetic moment**: 0.9 μB/f.u.
**E_form (uncorrected)**: 1.2236 eV per atom
**Energy above the lowest structure with this stoichiometry**: 53.6 kJ per mole of atoms
**DOS(E_F)**: 7.32 states/eV per cell
**V**: 14.27 Å³ per atom

Cell and atoms, written as Quantum ESPRESSO input:
```
&SYSTEM
  ibrav = 0, nat = 5, ntyp = 3
/
ATOMIC_SPECIES
Cr 52.00 Cr.upf
Si 28.09 Si.upf
Co 58.93 Co.upf
CELL_PARAMETERS angstrom
4.148 0.000 0.000
0.000 4.148 0.000
0.000 0.000 4.148
ATOMIC_POSITIONS crystal
Cr 0.000 0.000 0.000
Si 0.500 0.500 0.500
Co 0.000 0.500 0.000
Co 0.000 0.000 0.500
Co 0.500 0.000 0.000
```

Record 2
LaOs2Ru after structural relaxation, computed with PBE. Values from VASP.

**Total magnetic moment**: 0.0 μB/f.u.
**Energy above the lowest structure with this stoichiometry**: 4.9 kJ per mole of atoms
**DOS(E_F)**: 3.40 states/eV per cell
**V**: 18.14 Å³ per atom
**Energy of formation from the pure elements**: 0.374 eV/atom

Cell and atoms, written as Quantum ESPRESSO input:
```
&SYSTEM
  ibrav = 0, nat = 4, ntyp = 3
/
ATOMIC_SPECIES
La 138.91 La.upf
Os 190.23 Os.upf
Ru 101.07 Ru.upf
CELL_PARAMETERS angstrom
4.368 0.000 0.000
0.000 2.894 0.009
0.000 1.243 5.744
ATOMIC_POSITIONS crystal
La 0.500 0.751 0.725
Os 0.000 0.009 0.084
Os 0.500 0.406 0.221
Ru 0.000 0.335 0.470
```

Record 3
CrTc2Pb after structural relaxation, computed with PBE. Values from VASP.

**Total magnetic moment**: 1.5 μB/f.u.
**Energy above the lowest structure with this stoichiometry**: 12.2 kJ per mole of atoms
**DOS(E_F)**: 5.22 states/eV per cell
**V**: 16.28 Å³ per atom
**Energy of formation from the pure elements**: 0.589 eV/atom

Cell and atoms, written as Quantum ESPRESSO input:
```
&SYSTEM
  ibrav = 0, nat = 4, ntyp = 3
/
ATOMIC_SPECIES
Cr 52.00 Cr.upf
Pb 207.20 Pb.upf
Tc 98.00 Tc.upf
CELL_PARAMETERS angstrom
-2.355 2.871 3.389
-4.281 1.955 -1.769
1.919 -4.646 0.108
ATOMIC_POSITIONS crystal
Cr 0.500 0.500 0.000
Pb 0.750 0.250 0.500
Tc 0.000 0.000 0.000
Tc 0.250 0.750 0.500
```

Ordered total energy results: -6.049 -8.792 -7.926; unit eV/atom.